Entry 1:
DFT (GGA-PBE) results for MgCdOsO6 after structural relaxation.

Lattice parameters (Å, degrees): 5.2221 5.2221 9.5525 90.00 90.00 120.00
With the nearest neighbours (Å) after each atom.
Fractional positions:
Mg1 0.3333 0.6667 0.2500  6 O 2.07
Mg2 0.6667 0.3333 0.7500  6 O 2.07
Cd1 0.0000 0.0000 0.0000  6 O 2.33
Cd2 0.0000 0.0000 0.5000  6 O 2.33
Os1 0.3333 0.6667 0.7500  6 O 1.88
Os2 0.6667 0.3333 0.2500  6 O 1.88
O1 0.0282 0.3791 0.6393  1 Os 1.88, 1 Mg 2.07
O2 0.0282 0.6491 0.8607  1 Os 1.88, 1 Mg 2.07
O3 0.3509 0.3791 0.8607  1 Os 1.88, 1 Mg 2.07
O4 0.3509 0.9718 0.6393  1 Os 1.88, 1 Mg 2.07
O5 0.3791 0.0282 0.1393  1 Os 1.88, 1 Mg 2.07
O6 0.3791 0.3509 0.3607  1 Os 1.88, 1 Mg 2.07
O7 0.6209 0.6491 0.6393  1 Os 1.88, 1 Mg 2.07
O8 0.6209 0.9718 0.8607  1 Os 1.88, 1 Mg 2.07
O9 0.6491 0.0282 0.3607  1 Os 1.88, 1 Mg 2.07
O10 0.6491 0.6209 0.1393  1 Os 1.88, 1 Mg 2.07
O11 0.9718 0.3509 0.1393  1 Os 1.88, 1 Mg 2.07
O12 0.9718 0.6209 0.3607  1 Os 1.88, 1 Mg 2.07

Computed properties:
E_form (uncorrected)   -11.6 eV per formula unit
Space-group type   P-31c
Total magnetic moment   0.000 μB per formula unit

=====

Entry 2:
DFT (GGA-PBE) results for CsMgTa after structural relaxation.

Lattice parameters (Å, degrees): 3.4706 5.6348 13.2175 82.95 88.15 72.16
With the nearest neighbours (Å) after each atom.
Fractional positions:
Cs1 0.0000 0.0000 0.0000  2 Cs 3.47, 1 Mg 3.85
Cs2 0.3845 0.4042 0.3675  2 Cs 3.47, 2 Mg 3.85-3.86
Mg1 0.2664 0.5347 0.7995  2 Mg 3.00, 4 Ta 3.03-3.22
Mg2 0.8527 0.4052 0.6280  5 Ta 2.98-3.02, 2 Mg 3.00
Ta1 0.1267 0.8674 0.5930  2 Ta 2.59-2.60
Ta2 0.5518 0.9829 0.7261  2 Ta 2.59-2.60

Computed properties:
ΔE_f   0.74 eV per atom
Space-group type   P1
Total magnetic moment   0.000 μB per formula unit